Entry 1:
Below is CaSmP2Pd5 after structural relaxation, with properties calculated at the GGA-PBE level.

abc: 4.1931 4.1931 8.8252
angles: 90.00 90.00 90.00
Atoms (fractional coordinates):
Ca 0.0000 0.0000 0.0000
Sm 0.0000 0.0000 0.5000
P 0.5000 0.5000 0.3722
P 0.5000 0.5000 0.6278
Pd 0.0000 0.5000 0.2384
Pd 0.0000 0.5000 0.7616
Pd 0.5000 0.0000 0.2384
Pd 0.5000 0.0000 0.7616
Pd 0.5000 0.5000 0.0000

space group	No. 123
M_tot	0.0	μB per formula unit
VASP energy	-5.694	eV/atom

---

Entry 2:
Below is CaSnP2Pd4 after structural relaxation, with properties calculated at the GGA-PBE level.

abc: 4.2690 4.2690 7.9337
angles: 90.00 90.00 90.00
Atoms (fractional coordinates):
Ca 0.0000 0.0000 0.0000
Sn 0.0000 0.0000 0.5000
P 0.5000 0.5000 0.1393
P 0.5000 0.5000 0.8607
Pd 0.0000 0.5000 0.2867
Pd 0.0000 0.5000 0.7133
Pd 0.5000 0.0000 0.2867
Pd 0.5000 0.0000 0.7133

space group	No. 123
M_tot	0.0	μB per formula unit
VASP energy	-5.398	eV/atom

---

Entry 3:
Below is Ca3SnP2Pd9 after structural relaxation, with properties calculated at the GGA-PBE level.

abc: 6.2835 6.2835 9.2246
angles: 90.00 90.00 120.00
Atoms (fractional coordinates):
Ca 0.0000 0.0000 0.0000
Ca 0.3333 0.6667 0.6994
Ca 0.6667 0.3333 0.3006
Sn 0.0000 0.0000 0.5000
P 0.3333 0.6667 0.1613
P 0.6667 0.3333 0.8387
Pd 0.0000 0.5000 0.0000
Pd 0.1495 0.2991 0.2737
Pd 0.1495 0.8505 0.2737
Pd 0.2991 0.1495 0.7263
Pd 0.5000 0.0000 0.0000
Pd 0.5000 0.5000 0.0000
Pd 0.7009 0.8505 0.2737
Pd 0.8505 0.1495 0.7263
Pd 0.8505 0.7009 0.7263

space group	No. 164
M_tot	0.0	μB per formula unit
VASP energy	-5.152	eV/atom

---

Entry 4:
Below is Ca3Sn2P2Pd4 after structural relaxation, with properties calculated at the GGA-PBE level.

abc: 4.4133 4.4133 13.5305
angles: 90.00 90.00 120.00
Atoms (fractional coordinates):
Ca 0.0000 0.0000 0.0000
Ca 0.0000 0.0000 0.2589
Ca 0.0000 0.0000 0.7411
Sn 0.3333 0.6667 0.5645
Sn 0.6667 0.3333 0.4355
P 0.3333 0.6667 0.1541
P 0.6667 0.3333 0.8459
Pd 0.3333 0.6667 0.3600
Pd 0.3333 0.6667 0.8640
Pd 0.6667 0.3333 0.1360
Pd 0.6667 0.3333 0.6400

space group	No. 164
M_tot	0.0	μB per formula unit
VASP energy	-4.929	eV/atom

---

Entry 5:
Below is SrCaP2Pd4 after structural relaxation, with properties calculated at the GGA-PBE level.

abc: 4.1813 4.1813 9.8586
angles: 90.00 90.00 90.00
Atoms (fractional coordinates):
Sr 0.0000 0.0000 0.0000
Ca 0.0000 0.0000 0.5000
P 0.5000 0.5000 0.1735
P 0.5000 0.5000 0.8265
Pd 0.0000 0.5000 0.2761
Pd 0.0000 0.5000 0.7239
Pd 0.5000 0.0000 0.2761
Pd 0.5000 0.0000 0.7239

space group	No. 123
M_tot	0.0	μB per formula unit
VASP energy	-5.105	eV/atom

---

Entry 6:
Below is SrCaP2Pd5 after structural relaxation, with properties calculated at the GGA-PBE level.

abc: 4.2589 4.2589 8.8400
angles: 90.00 90.00 90.00
Atoms (fractional coordinates):
Sr 0.0000 0.0000 0.0000
Ca 0.0000 0.0000 0.5000
P 0.5000 0.5000 0.3748
P 0.5000 0.5000 0.6252
Pd 0.0000 0.5000 0.2477
Pd 0.0000 0.5000 0.7523
Pd 0.5000 0.0000 0.2477
Pd 0.5000 0.0000 0.7523
Pd 0.5000 0.5000 0.0000

space group	No. 123
M_tot	0.0	μB per formula unit
VASP energy	-5.231	eV/atom